1.
Computed, not measured: a relaxed ZnInW crystal at the PBE level of DFT.

abc: 2.9523 2.9523 7.1134
angles: 90.00 90.00 120.00
With the nearest neighbours (Å) after each atom.
Fractional positions:
W 0.6667 0.3333 0.3470  3 Zn 2.76, 6 W 2.95, 3 In 2.99
In 0.0000 0.0000 0.0011  6 In 2.95, 3 W 2.99, 3 Zn 3.01
Zn 0.3333 0.6667 0.6518  3 W 2.76, 6 Zn 2.95, 3 In 3.01

Results
* energy relative to the lowest polymorph listed for this composition: 0.000 eV/atom
* space-group type: P3m1, No. 156
* calculated formation energy: 1.41 eV/f.u.

***

2.
Computed, not measured: a relaxed CaAc2Ge3Ir4 crystal at the PBE level of DFT.

abc: 4.2818 4.2818 11.4011
angles: 90.00 90.00 90.00
With the nearest neighbours (Å) after each atom.
Fractional positions:
Ir 0.5000 0.5000 0.0000  4 Ge 2.52
Ir 0.0000 0.0000 0.0000  4 Ge 2.52
Ge 0.0000 0.5000 0.1174  5 Ir 2.52-2.53
Ac 0.5000 0.0000 0.2393  8 Ir 3.24-3.47, 4 Ge 3.33
Ac 0.0000 0.5000 0.7607  8 Ir 3.24-3.47, 4 Ge 3.33
Ir 0.0000 0.5000 0.3393  3 Ge 2.53-2.82, 2 Ca 2.82
Ge 0.0000 0.0000 0.5000  4 Ir 2.82, 4 Ca 3.03
Ca 0.5000 0.5000 0.5000  4 Ir 2.82, 4 Ge 3.03
Ir 0.5000 0.0000 0.6607  3 Ge 2.53-2.82, 2 Ca 2.82
Ge 0.5000 0.0000 0.8826  5 Ir 2.52-2.53

Results
* space-group type: P-4m2, No. 115
* calculated formation energy: -6.74 eV/f.u.

***

3.
Computed, not measured: a relaxed CsGe2N2 crystal at the PBE level of DFT.

abc: 8.5026 8.5026 3.0815
angles: 90.00 90.00 90.00
With the nearest neighbours (Å) after each atom.
Fractional positions:
N 0.5957 0.9043 0.5000  4 Ge 2.28, 1 N 2.30
Ge 0.1015 0.3985 0.0000  4 N 2.28, 1 Ge 2.44
N 0.4043 0.0957 0.5000  4 Ge 2.28, 1 N 2.30
Ge 0.8985 0.6015 0.0000  4 N 2.28, 1 Ge 2.44
Cs 0.0000 0.0000 0.0000  2 Cs 3.08
N 0.0957 0.5957 0.5000  4 Ge 2.28, 1 N 2.30
Cs 0.5000 0.5000 0.0000  2 Cs 3.08
Ge 0.6015 0.1015 0.0000  4 N 2.28, 1 Ge 2.44
Ge 0.3985 0.8985 0.0000  4 N 2.28, 1 Ge 2.44
N 0.9043 0.4043 0.5000  4 Ge 2.28, 1 N 2.30

Results
* energy relative to the lowest polymorph listed for this composition: 0.697 eV/atom
* formation energy (no corrections): 904 meV/atom
* space-group type: P4/mbm, No. 127

***

4.
Computed, not measured: a relaxed CeGd2Y crystal at the PBE level of DFT.

abc: 5.6976 5.6976 5.6976
angles: 60.00 60.00 60.00
With the nearest neighbours (Å) after each atom.
Fractional positions:
Y 0.0000 0.0000 0.0000  8 Gd 3.49
Gd 0.7500 0.7500 0.7500  4 Y 3.49, 4 Ce 3.49
Ce 0.5000 0.5000 0.5000  8 Gd 3.49
Gd 0.2500 0.2500 0.2500  4 Ce 3.49, 4 Y 3.49

Results
* energy relative to the lowest polymorph listed for this composition: 0.082 eV/atom
* space-group type: Fm-3m, No. 225
* calculated formation energy: 0.59 eV/f.u.

***

5.
Computed, not measured: a relaxed Na2CuICl2 crystal at the PBE level of DFT.

abc: 7.3497 7.8023 7.3498
angles: 122.06 90.00 90.00
With the nearest neighbours (Å) after each atom.
Fractional positions:
Cu 0.7093 0.8283 0.0000  2 Cl 2.38, 2 I 2.61-2.62
Cu 0.2093 0.1717 0.0000  2 Cl 2.38, 2 I 2.61-2.62
Cl 0.2950 0.4869 0.3083  1 Cu 2.38
Cl 0.2950 0.1786 0.6917  1 Cu 2.38
Cl 0.7950 0.5131 0.6917  1 Cu 2.38
Cl 0.7950 0.8214 0.3083  1 Cu 2.38
Na 0.6594 0.1691 0.6434  3 Cl 2.70-2.71
Na 0.1594 0.4743 0.6434  3 Cl 2.70-2.71
Na 0.6594 0.5257 0.3566  3 Cl 2.70-2.71
I 0.8551 0.1329 0.0000  2 Cu 2.61-2.62
I 0.3551 0.8671 0.0000  2 Cu 2.61-2.62
Na 0.1594 0.8309 0.3566  3 Cl 2.70-2.71

Results
* formation energy (no corrections): -1156 meV/atom
* space-group type: Cmc2_1, No. 36

***

6.
Computed, not measured: a relaxed NiMoH2 crystal at the PBE level of DFT.

abc: 2.7609 2.7609 5.2816
angles: 74.85 74.85 60.00
With the nearest neighbours (Å) after each atom.
Fractional positions:
H 0.8757 0.8757 0.3730  3 Ni 1.72, 1 Mo 1.88
Mo 0.0000 0.0000 0.0000  2 H 1.88
H 0.1243 0.1243 0.6270  3 Ni 1.72, 1 Mo 1.88
Ni 0.5000 0.5000 0.5000  6 H 1.72

Results
* energy relative to the lowest polymorph listed for this composition: 0.179 eV/atom
* space-group type: R-3m, No. 166